Below is a crystal of LiCdTe2 relaxed with PBEsol, with properties calculated at the meta-GGA SCAN level.

As for the uncorrected formation energy: -212 meV per atom.

a = 3.2536 Å, b = 3.2536 Å, c = 33.0119 Å
α = 90.00°, β = 90.00°, γ = 120.00°
Closest atoms and distances in Å follow each position.
Space group R-3m (No. 166, hexagonal axes)
Inequivalent atoms, fractional coordinates:
Li 0.0000 0.0000 0.0000 [3 per cell]  6 Te 2.89
Cd 0.0000 0.0000 0.5000 [3 per cell]  6 Cd 3.25
Te 0.0000 0.0000 0.2667 [6 per cell]  3 Li 2.89